VASP calculation (PBE-GGA) on a geometry-optimized Zr2BeTe structure.

Geometry as extended XYZ:
```
4
Lattice="3.5367 0.0000 0.0000 0.0000 3.5965 0.0095 0.0000 2.6754 6.2477" Properties=species:S:1:pos:R:3 pbc="T T T"
Be 1.7683 1.5680 1.5643
Te 1.7683 4.7039 4.6930
Zr 0.0000 0.1294 0.1340
Zr 0.0000 3.0065 2.9947
```

Calculated values
**Raw formation energy**: -0.220 eV/atom
**Spin magnetization**: 0.000 μB/f.u.
**D(E_F)**: 0.451 states/eV per atom
**Relative energy among the computed polymorphs**: 0.201 eV per atom
**Electronic total energy**: -24.84 eV for the cell shown
**Symmetry**: P2/m